## TiBrO2 (GGA-PBE)

Data for a relaxed TiBrO2 crystal.

Results
Total moment   2.00 μB per cell
E_form (uncorrected)   -1989 meV/atom

Unit cell a=5.9647 b=5.9647 c=5.9647 alpha=119.95 beta=119.95 gamma=90.09
Last column: nearest neighbours and their distance in Å.
Sites, in units of the cell vectors:
Ti (0.0000, 0.0000, 0.0000)  4 O 1.83
Ti (0.7500, 0.2500, 0.5000)  4 O 1.83
Br (0.2500, 0.7500, 0.5000)  12 O 3.50, 4 Br 3.65, 4 Ti 3.65
Br (0.5000, 0.5000, 0.0000)  12 O 3.50, 4 Br 3.65, 4 Ti 3.65
O (0.3750, 0.1258, 0.2508)  2 Ti 1.83
O (0.8742, 0.1250, 0.2492)  2 Ti 1.83
O (0.8750, 0.1242, 0.7492)  2 Ti 1.83
O (0.8758, 0.6250, 0.7508)  2 Ti 1.83